[1]
## CdH10C3NCl3 (GGA-PBEsol)

Data for a geometry-optimized CdH10C3NCl3 structure.

Calculated values
Crystal system: orthorhombic
M_tot (μB/cell): 0.0
Raw total energy (eV per atom): -4.743

```
72
Lattice="-6.474 0.330 1.621 1.423 -5.600 6.824 2.698 11.065 8.518" Properties=species:S:1:pos:R:3 pbc="T T T"
Cd 2.061 2.732 7.671
Cd -3.237 0.165 0.811
Cd -1.176 2.898 8.481
Cd 0.000 0.000 0.000
H 1.795 3.163 13.406
H -0.136 -0.078 6.354
H -4.147 2.632 3.557
H -2.216 5.873 10.608
H 0.546 6.074 7.826
H -0.809 0.566 3.537
H -2.898 -0.279 9.137
H -1.543 5.229 13.426
H 1.624 7.499 8.133
H -1.319 1.471 5.023
H -2.234 -1.793 8.393
H -2.775 4.413 12.376
H -3.976 -1.704 8.829
H -1.033 4.324 11.940
H -0.118 7.588 8.570
H 0.423 1.382 4.587
H 1.273 6.146 5.491
H -1.993 -1.379 4.429
H -1.170 -0.476 10.856
H -2.814 7.300 13.149
H -3.625 -0.351 11.471
H -0.359 7.174 12.534
H -1.182 6.271 6.106
H 0.462 -1.505 3.814
H 2.447 2.059 11.350
H -1.534 -2.034 6.054
H -2.503 3.619 5.038
H -3.113 7.946 11.483
H -4.799 3.737 5.613
H -0.818 7.829 10.908
H 0.151 2.176 11.925
H 0.761 -2.151 5.479
H -4.188 7.929 7.446
H -2.429 -0.464 5.918
H -0.577 -2.011 10.121
H 2.489 6.136 10.440
H 1.836 -2.134 9.516
H 0.077 6.259 11.044
H -1.775 7.806 6.842
H -4.841 -0.341 6.523
C 0.610 7.173 7.858
C -0.537 0.847 4.566
C -2.962 -1.378 9.105
C -1.815 4.948 12.396
C 2.714 1.647 12.335
C -1.681 -1.124 5.453
C -2.692 4.027 4.033
C -3.046 7.040 12.104
C -5.066 4.148 4.628
C -0.671 6.919 11.510
C 0.340 1.768 12.930
C 0.694 -1.245 4.858
N 0.300 7.707 6.511
N -0.398 -0.387 5.374
N -2.652 -1.912 10.451
N -1.954 6.182 11.588
Cl 0.925 3.840 9.792
Cl 0.050 -3.560 7.809
Cl -3.277 1.955 7.170
Cl -2.402 9.355 9.154
Cl 0.362 0.743 8.176
Cl 1.989 5.180 13.769
Cl -2.714 5.052 8.786
Cl -4.341 0.615 3.194
Cl 0.069 3.805 6.384
Cl 1.334 9.668 10.239
Cl -2.421 1.990 10.579
Cl -3.686 -3.873 6.723
```

=====

[2]
## MgMnOs2 (GGA-PBEsol)

Data for a geometry-optimized MgMnOs2 structure.

Calculated values
Crystal system: orthorhombic
M_tot (μB/cell): 3.1
Raw total energy (eV per atom): -8.689
Calculated formation energy (eV/atom): 0.2888

```
4
Lattice="2.745 0.000 0.022 0.000 3.853 0.000 -0.042 0.000 5.397" Properties=species:S:1:pos:R:3 pbc="T T T"
Mg 2.723 0.000 2.760
Mn 1.341 1.926 4.084
Os 0.000 0.000 0.050
Os 1.363 1.926 1.244
```

=====

[3]
## MgCdHg2 (GGA-PBEsol)

Data for a geometry-optimized MgCdHg2 structure.

Calculated values
Crystal system: tetragonal
M_tot (μB/cell): 0.0
Raw total energy (eV per atom): -1.054
Calculated formation energy (eV/atom): -0.0423

```
8
Lattice="-1.575 3.985 0.956 -3.619 -1.833 1.677 6.876 -1.492 7.463" Properties=species:S:1:pos:R:3 pbc="T T T"
Mg 1.352 1.784 4.868
Mg -2.597 1.076 1.317
Hg -2.046 -0.463 3.697
Hg -1.008 2.407 3.327
Hg 4.490 -0.859 5.935
Hg 1.929 0.235 7.235
Cd 0.330 -1.124 5.228
Cd 0.000 0.000 0.000
```

=====

[4]
## AgWAu (GGA-PBEsol)

Data for a geometry-optimized AgWAu structure.

Calculated values
Crystal system: orthorhombic
M_tot (μB/cell): 0.0
Raw total energy (eV per atom): -6.411
Calculated formation energy (eV/atom): 0.6036

```
3
Lattice="-1.418 2.027 -1.145 -3.200 -2.619 -0.675 0.694 1.297 4.682" Properties=species:S:1:pos:R:3 pbc="T T T"
Au -2.854 0.042 0.364
Ag -3.918 0.701 2.848
W -1.076 0.666 2.513
```

=====

[5]
## RhAu3F (GGA-PBEsol)

Data for a geometry-optimized RhAu3F structure.

Calculated values
Crystal system: cubic
M_tot (μB/cell): 0.6
Energy above the most stable polymorph in this dataset (eV/atom): 0.000
Raw total energy (eV per atom): -3.579

```
5
Lattice="4.383 0.000 0.000 0.000 4.383 0.000 0.000 0.000 4.383" Properties=species:S:1:pos:R:3 pbc="T T T"
Rh 2.192 2.192 2.192
Au 0.000 2.192 0.000
Au 0.000 0.000 2.192
Au 2.192 0.000 0.000
F 0.000 0.000 0.000
```

=====

[6]
## ScTaH3 (GGA-PBEsol)

Data for a geometry-optimized ScTaH3 structure.

Calculated values
Crystal system: cubic
M_tot (μB/cell): 0.0
Energy above the most stable polymorph in this dataset (eV/atom): 0.000
Raw total energy (eV per atom): -6.022

```
5
Lattice="-0.999 -2.431 -2.473 -1.050 -2.241 2.627 -3.305 1.447 -0.087" Properties=species:S:1:pos:R:3 pbc="T T T"
Sc -2.677 -1.613 0.034
H -0.525 -1.120 1.314
H -1.653 0.723 -0.043
H -0.500 -1.216 -1.237
Ta 0.000 0.000 0.000
```

=====

In the order shown, the computed density values come out to 2.18 13.38 9.48 16.82 14.05 8.09 g cm⁻³.